A geometry-optimized Sr2TePd2 structure, computed with PBE.

Output
ΔE_f (raw)	-0.831	eV/atom
Fermi-level density of states	0.63	states/eV/f.u.
distance to the lowest polymorph of the same formula	0	meV/atom
size of the total moment	0.00	μB/f.u.
crystal system	tetragonal
raw total energy	-42.089	eV per cell

```
Sr2TePd2
1.0
-1.136 1.580 -7.557
-1.552 -7.530 -1.340
-4.175 0.722 0.779
Pd Sr Te
4 4 2
direct
0.623 0.123 0.000
0.877 0.623 0.000
0.377 0.877 0.000
0.123 0.377 0.000
0.679 0.821 0.500
0.321 0.179 0.500
0.179 0.679 0.500
0.821 0.321 0.500
0.500 0.500 0.000
0.000 0.000 0.000
```